# 1
# CaSc2Ru | Alexandria | PBEsol | optimized geometry
data_CaSc2Ru
_space_group_name_H-M_alt 'F m -3 m'
_space_group_IT_number 225
_space_group_name_Hall '-F 4 2 3'
_cell_length_a 6.814
_cell_length_b 6.814
_cell_length_c 6.814
_cell_angle_alpha 90.00
_cell_angle_beta 90.00
_cell_angle_gamma 90.00
loop_
_atom_site_label
_atom_site_type_symbol
_atom_site_fract_x
_atom_site_fract_y
_atom_site_fract_z
Ca1 Ca 0.000 0.000 0.000
Sc1 Sc 0.250 0.250 0.250
Ru1 Ru 0.000 0.000 0.500
# ΔE_f: 0.027 eV/atom

=====

# 2
# La2MnOs | Alexandria | PBEsol | optimized geometry
data_La2MnOs
_space_group_name_H-M_alt 'R 3 m'
_space_group_IT_number 160
_space_group_name_Hall 'R 3 -2"'
_cell_length_a 4.0052
_cell_length_b 4.0052
_cell_length_c 22.1252
_cell_angle_alpha 90.00
_cell_angle_beta 90.00
_cell_angle_gamma 120.00
loop_
_atom_site_label
_atom_site_type_symbol
_atom_site_fract_x
_atom_site_fract_y
_atom_site_fract_z
La1 La 0.0000 0.0000 0.0000
La2 La 0.0000 0.0000 0.1841
Mn1 Mn 0.0000 0.0000 0.4145
Os1 Os 0.0000 0.0000 0.7681
# ΔE_f: 0.066 eV/atom

=====

# 3
# ScSiAsP2 | Alexandria | PBEsol | optimized geometry
data_ScSiAsP2
_space_group_name_H-M_alt 'P 4/m m m'
_space_group_IT_number 123
_space_group_name_Hall '-P 4 2'
_cell_length_a 4.470
_cell_length_b 4.470
_cell_length_c 4.720
_cell_angle_alpha 90.00
_cell_angle_beta 90.00
_cell_angle_gamma 90.00
loop_
_atom_site_label
_atom_site_type_symbol
_atom_site_fract_x
_atom_site_fract_y
_atom_site_fract_z
Sc1 Sc 0.000 0.000 0.000
Si1 Si 0.500 0.500 0.500
As1 As 0.500 0.500 0.000
P1 P 0.000 0.500 0.500
# ΔE_f (raw): 0.182 eV/atom

=====

# 4
# NaH3Pd | Alexandria | PBEsol | optimized geometry
data_NaH3Pd
_space_group_name_H-M_alt 'P m -3 m'
_space_group_IT_number 221
_space_group_name_Hall '-P 4 2 3'
_cell_length_a 3.559
_cell_length_b 3.559
_cell_length_c 3.559
_cell_angle_alpha 90.00
_cell_angle_beta 90.00
_cell_angle_gamma 90.00
loop_
_atom_site_label
_atom_site_type_symbol
_atom_site_fract_x
_atom_site_fract_y
_atom_site_fract_z
Na1 Na 0.000 0.000 0.000
H1 H 0.000 0.500 0.500
Pd1 Pd 0.500 0.500 0.500
# energy: -3.744 eV per atom

=====

# 5
# ZnTc2Sb | Alexandria | PBEsol | optimized geometry
data_ZnTc2Sb
_space_group_name_H-M_alt 'I m m 2'
_space_group_IT_number 44
_cell_length_a 3.183
_cell_length_b 4.307
_cell_length_c 8.999
_cell_angle_alpha 90.00
_cell_angle_beta 90.00
_cell_angle_gamma 90.00
loop_
_space_group_symop_operation_xyz
'x,y,z'
'-x,-y,z'
'-x,y,z'
'x,-y,z'
'x+1/2,y+1/2,z+1/2'
'-x+1/2,-y+1/2,z+1/2'
'-x+1/2,y+1/2,z+1/2'
'x+1/2,-y+1/2,z+1/2'
loop_
_atom_site_label
_atom_site_type_symbol
_atom_site_fract_x
_atom_site_fract_y
_atom_site_fract_z
Zn1 Zn 0.000 0.000 0.000
Tc1 Tc 0.000 0.000 0.509
Tc2 Tc 0.000 0.500 0.253
Sb1 Sb 0.000 0.500 0.765
# ΔE_f (raw): 0.274 eV/atom

=====

# 6
# HgPtAu2 | Alexandria | PBEsol | optimized geometry
data_HgPtAu2
_space_group_name_H-M_alt 'P 1 2/m 1'
_space_group_IT_number 10
_cell_length_a 4.899
_cell_length_b 2.940
_cell_length_c 5.024
_cell_angle_alpha 90.00
_cell_angle_beta 108.96
_cell_angle_gamma 90.00
loop_
_space_group_symop_operation_xyz
'x,y,z'
'-x,-y,-z'
'-x,y,-z'
'x,-y,z'
loop_
_atom_site_label
_atom_site_type_symbol
_atom_site_fract_x
_atom_site_fract_y
_atom_site_fract_z
Hg1 Hg 0.000 0.000 0.000
Pt1 Pt 0.500 0.500 0.000
Au1 Au 0.000 0.500 0.500
Au2 Au 0.500 0.000 0.500
# ΔE_f: 0.018 eV/atom

=====

- Which formula does entry 3 have?
  ScSiAsP2

=====

Please write out number 5 again, unchanged.
# ZnTc2Sb | Alexandria | PBEsol | optimized geometry
data_ZnTc2Sb
_space_group_name_H-M_alt 'I m m 2'
_space_group_IT_number 44
_cell_length_a 3.183
_cell_length_b 4.307
_cell_length_c 8.999
_cell_angle_alpha 90.00
_cell_angle_beta 90.00
_cell_angle_gamma 90.00
loop_
_space_group_symop_operation_xyz
'x,y,z'
'-x,-y,z'
'-x,y,z'
'x,-y,z'
'x+1/2,y+1/2,z+1/2'
'-x+1/2,-y+1/2,z+1/2'
'-x+1/2,y+1/2,z+1/2'
'x+1/2,-y+1/2,z+1/2'
loop_
_atom_site_label
_atom_site_type_symbol
_atom_site_fract_x
_atom_site_fract_y
_atom_site_fract_z
Zn1 Zn 0.000 0.000 0.000
Tc1 Tc 0.000 0.000 0.509
Tc2 Tc 0.000 0.500 0.253
Sb1 Sb 0.000 0.500 0.765
# ΔE_f (raw): 0.274 eV/atom